(1)
First-principles (PBE) data for crystalline Ho5Ge4 at its relaxed geometry, as listed in the Open Quantum Materials Database.

Computed properties:
* calculated total energy: -5.453 eV/atom
* symmetry: Pnma

extended XYZ file:
```
36
Lattice="7.6121 0.0000 0.0000 0.0000 14.6330 0.0000 0.0000 0.0000 7.6844" Properties=species:S:1:pos:R:3 pbc="T T T"
Ge 5.4720 7.9618 0.2491
Ge 5.4720 13.9877 0.2491
Ge 0.6159 10.9748 0.8971
Ge 5.0762 3.6583 1.0610
Ge 1.2701 3.6583 2.7812
Ge 4.4220 10.9748 2.9451
Ge 1.6659 7.9618 3.5931
Ge 1.6659 13.9877 3.5931
Ge 5.9463 0.6453 4.0913
Ge 5.9463 6.6712 4.0913
Ge 3.1902 3.6583 4.7394
Ge 6.3421 10.9748 4.9033
Ge 2.5360 10.9748 6.6234
Ge 6.9963 3.6583 6.7873
Ge 2.1402 0.6453 7.4353
Ge 2.1402 6.6712 7.4353
Ho 5.4274 10.9748 0.0119
Ho 2.8738 9.0354 1.2347
Ho 2.8738 12.9142 1.2347
Ho 7.4052 1.4716 1.3646
Ho 7.4052 5.8449 1.3646
Ho 3.5992 1.4716 2.4776
Ho 3.5992 5.8449 2.4776
Ho 6.6799 9.0354 2.6075
Ho 6.6799 12.9142 2.6075
Ho 1.6213 10.9748 3.8303
Ho 5.9908 3.6583 3.8541
Ho 0.9322 1.7189 5.0769
Ho 0.9322 5.5977 5.0769
Ho 4.0130 8.7882 5.2068
Ho 4.0130 13.1614 5.2068
Ho 0.2069 8.7882 6.3199
Ho 0.2069 13.1614 6.3199
Ho 4.7383 1.7189 6.4497
Ho 4.7383 5.5977 6.4497
Ho 2.1848 3.6583 7.6726
```

---

(2)
First-principles (PBE) data for crystalline Ho4Ge3 at its relaxed geometry, as listed in the Open Quantum Materials Database.

Computed properties:
* calculated total energy: -5.454 eV/atom
* symmetry: I-43d

extended XYZ file:
```
14
Lattice="-3.1310 -5.6902 -3.9754 0.4075 -1.9603 7.3468 -4.2790 6.2571 -0.7240" Properties=species:S:1:pos:R:3 pbc="T T T"
Ge -3.1726 -4.6868 -1.7322
Ge -1.1045 -0.8622 5.7505
Ge -3.2558 -2.6801 2.7540
Ge -4.8698 -1.0921 -0.6790
Ge -4.1286 1.3338 2.5580
Ge -4.4759 3.8073 -0.7090
Ho -1.7756 -4.5774 1.1602
Ho -0.2101 -1.7323 3.1479
Ho -2.1311 -2.0180 -2.0834
Ho -2.5756 -0.5125 0.9738
Ho -1.8819 1.8893 4.2826
Ho -2.0856 2.8694 0.6092
Ho -4.2706 1.1106 -2.4454
Ho -6.0768 -1.2092 2.2975
```

---

(3)
First-principles (PBE) data for crystalline Ho4GeI5 at its relaxed geometry, as listed in the Open Quantum Materials Database.

Computed properties:
* calculated total energy: -4.219 eV/atom
* symmetry: C2/m

extended XYZ file:
```
10
Lattice="9.5265 -2.0955 0.0000 9.5265 2.0955 0.0000 -1.9440 0.0000 8.5389" Properties=species:S:1:pos:R:3 pbc="T T T"
Ge 9.5265 0.0000 0.0000
Ho 12.1662 0.0000 0.6332
Ho -0.4033 0.0000 1.8022
Ho 17.5122 0.0000 6.7368
Ho 4.9427 0.0000 7.9058
I 15.4587 0.0000 1.4525
I 2.5224 0.0000 2.8728
I 8.5545 0.0000 4.2695
I 14.5865 0.0000 5.6661
I 1.6503 0.0000 7.0864
```

---

(4)
First-principles (PBE) data for crystalline Pr2Ho2GeI5 at its relaxed geometry, as listed in the Open Quantum Materials Database.

Computed properties:
* calculated total energy: -4.320 eV/atom
* symmetry: C2/m

extended XYZ file:
```
10
Lattice="9.7198 -2.1424 0.0000 9.7198 2.1424 0.0000 -1.9651 0.0000 8.9656" Properties=species:S:1:pos:R:3 pbc="T T T"
Ge 9.7198 0.0000 0.0000
Ho 12.3750 0.0000 0.6532
Ho 5.0995 0.0000 8.3125
I 15.7242 0.0000 1.3635
I 2.6620 0.0000 2.8732
I 8.7372 0.0000 4.4828
I 14.8124 0.0000 6.0925
I 1.7503 0.0000 7.6021
Pr 18.9928 0.0000 1.9363
Pr -1.5183 0.0000 7.0293
```

---

(5)
First-principles (PBE) data for crystalline SmHoGeI2 at its relaxed geometry, as listed in the Open Quantum Materials Database.

Computed properties:
* calculated total energy: -4.618 eV/atom
* symmetry: P3m1

extended XYZ file:
```
5
Lattice="4.2727 0.0000 0.0000 -2.1364 3.7003 0.0000 0.0000 0.0000 11.1459" Properties=species:S:1:pos:R:3 pbc="T T T"
Ge 0.0000 0.0000 5.6243
Ho 0.0000 2.4669 7.1589
I 0.0000 2.4669 1.9456
I 2.1364 1.2334 9.1321
Sm 2.1364 1.2334 4.0039
```

---

(6)
First-principles (PBE) data for crystalline YHoGeI2 at its relaxed geometry, as listed in the Open Quantum Materials Database.

Computed properties:
* calculated total energy: -4.975 eV/atom
* symmetry: P3m1

extended XYZ file:
```
5
Lattice="4.2338 0.0000 0.0000 -2.1169 3.6666 0.0000 0.0000 0.0000 11.2402" Properties=species:S:1:pos:R:3 pbc="T T T"
Ge 0.0000 0.0000 5.6051
Ho 2.1169 1.2222 4.0655
I 0.0000 2.4444 2.0713
I 2.1169 1.2222 9.1857
Y 0.0000 2.4444 7.1728
```

---

(7)
First-principles (PBE) data for crystalline Ho11In6Ge4 at its relaxed geometry, as listed in the Open Quantum Materials Database.

Computed properties:
* calculated total energy: -4.716 eV/atom
* symmetry: I4/mmm

extended XYZ file:
```
42
Lattice="-5.7355 5.7355 8.1116 5.7355 -5.7355 8.1116 5.7355 5.7355 -8.1116" Properties=species:S:1:pos:R:3 pbc="T T T"
Ge 0.0000 0.0000 6.1948
Ge 0.0000 0.0000 10.0284
Ge 0.0000 3.9842 8.1116
Ge 3.9842 0.0000 8.1116
Ge 0.0000 5.7355 4.0558
Ge 5.7355 0.0000 4.0558
Ge 1.7514 5.7355 0.0000
Ge 5.7355 1.7514 0.0000
Ho 0.0000 0.0000 2.7265
Ho -1.9321 1.9321 8.1116
Ho 1.9321 -1.9321 8.1116
Ho 0.0000 0.0000 13.4967
Ho 0.0000 2.8606 5.0981
Ho 2.8606 0.0000 5.0981
Ho 0.0000 2.8606 11.1251
Ho 2.8606 0.0000 11.1251
Ho 1.9321 1.9321 8.1116
Ho 0.0000 3.9668 1.6488
Ho -1.7687 5.7355 6.4628
Ho 3.9668 0.0000 1.6488
Ho 5.7355 -1.7687 6.4628
Ho 0.0000 7.5042 1.6488
Ho 1.7687 5.7355 6.4628
Ho 7.5042 0.0000 1.6488
Ho 5.7355 1.7687 6.4628
Ho 3.8035 3.8035 0.0000
Ho 2.8749 5.7355 -3.0135
Ho 5.7355 2.8749 -3.0135
Ho 2.8749 5.7355 3.0135
Ho 5.7355 2.8749 3.0135
In -3.3741 3.3741 5.3348
In -4.2581 4.2581 8.1116
In -3.3741 3.3741 10.8884
In 3.3741 -3.3741 5.3348
In 4.2581 -4.2581 8.1116
In 3.3741 -3.3741 10.8884
In 1.4774 1.4774 0.0000
In 2.3614 2.3614 -2.7768
In 2.3614 2.3614 2.7768
In 3.3741 3.3741 5.3348
In 3.3741 3.3741 10.8884
In 4.2581 4.2581 8.1116
```

---

(8)
First-principles (PBE) data for crystalline Ho2In3Ge2 at its relaxed geometry, as listed in the Open Quantum Materials Database.

Computed properties:
* calculated total energy: -4.239 eV/atom
* symmetry: C2/m

extended XYZ file:
```
7
Lattice="5.3678 -2.1544 0.0000 5.3678 2.1544 0.0000 -1.0840 0.0000 7.0344" Properties=species:S:1:pos:R:3 pbc="T T T"
Ge 0.9576 0.0000 0.8081
Ge 8.6939 0.0000 6.2262
Ho 3.9255 0.0000 1.2333
Ho 5.7260 0.0000 5.8010
In 7.1039 0.0000 2.5056
In -0.5420 0.0000 3.5172
In 2.5476 0.0000 4.5288
```

---

(9)
First-principles (PBE) data for crystalline Ho4InGe4Ir2 at its relaxed geometry, as listed in the Open Quantum Materials Database.

Computed properties:
* calculated total energy: -6.035 eV/atom
* symmetry: C2/m

extended XYZ file:
```
11
Lattice="-7.1061 1.2522 -3.7693 -6.1414 -2.8394 -4.5270 -1.5557 -1.5939 6.6266" Properties=species:S:1:pos:R:3 pbc="T T T"
Ge -3.0157 -0.7129 0.0100
Ge -12.9260 -2.0266 -5.5138
Ge -1.8771 -1.1544 3.8442
Ge -11.7875 -2.4682 -1.6797
Ho -4.6787 -0.6598 -2.3940
Ho -8.3822 -1.5488 -2.3091
Ho -6.4209 -1.6323 0.6395
Ho -10.1245 -2.5213 0.7243
In 0.0000 0.0000 0.0000
Ir -10.9181 -1.8315 -4.0109
Ir -3.8851 -1.3496 2.3413
```

---

(10)
First-principles (PBE) data for crystalline NdHo2In3Ge2Pt at its relaxed geometry, as listed in the Open Quantum Materials Database.

Computed properties:
* calculated total energy: -4.886 eV/atom
* symmetry: Amm2

extended XYZ file:
```
9
Lattice="-0.8032 1.7117 -3.9338 -2.3272 -6.5983 -2.3960 -4.7764 4.7553 3.0443" Properties=species:S:1:pos:R:3 pbc="T T T"
Ge -3.5509 -2.0128 -2.5722
Ge -4.3891 1.8729 -0.7102
Ho -1.3976 -3.9163 -1.4187
Ho -2.8495 2.8144 1.8064
In -0.9728 -0.7522 -2.5500
In -1.5693 2.0127 -1.2251
In -5.7520 -0.5323 -1.4786
Nd -2.9095 -0.7549 0.2656
Pt -7.0314 -1.8243 0.6418
```

---

(11)
First-principles (PBE) data for crystalline Tb2HoIn3NiGe2 at its relaxed geometry, as listed in the Open Quantum Materials Database.

Computed properties:
* calculated total energy: -4.704 eV/atom
* symmetry: Amm2

extended XYZ file:
```
9
Lattice="-3.6353 -1.2945 -1.7702 -3.3009 0.3459 6.5258 0.0478 5.8626 -4.3852" Properties=species:S:1:pos:R:3 pbc="T T T"
Ge -3.9981 1.5394 1.9936
Ge -2.8875 3.3690 -1.6251
Ho -1.3082 2.4967 0.8608
In -2.6087 -0.5621 0.6772
In -1.8075 0.7579 -1.9336
In -4.2918 4.0746 0.7429
Ni -0.0050 0.0095 0.0033
Tb -3.2716 3.8453 3.9065
Tb -1.9226 6.0675 -0.4887
```

---

(12)
First-principles (PBE) data for crystalline Ho2TmIn3NiGe2 at its relaxed geometry, as listed in the Open Quantum Materials Database.

Computed properties:
* calculated total energy: -4.657 eV/atom
* symmetry: Amm2

extended XYZ file:
```
9
Lattice="4.2127 0.0000 0.0000 0.0000 6.3057 3.6468 0.0000 -6.3057 3.6468" Properties=species:S:1:pos:R:3 pbc="T T T"
Ge 2.1063 2.0903 3.6429
Ge 2.1063 -2.0903 3.6429
Ho 0.0000 2.5417 5.8211
Ho 0.0000 -2.5417 5.8211
In 2.1063 1.5143 0.8771
In 2.1063 -1.5143 0.8771
In 2.1063 0.0000 5.5439
Ni 0.0000 0.0000 0.0139
Tm 0.0000 0.0000 2.9341
```

---

(13)
First-principles (PBE) data for crystalline Ho2Tm2InGe4Pd2 at its relaxed geometry, as listed in the Open Quantum Materials Database.

Computed properties:
* calculated total energy: -5.382 eV/atom
* symmetry: C2/m

extended XYZ file:
```
11
Lattice="7.8995 -2.1111 0.0000 7.8995 2.1111 0.0000 -2.1523 0.0000 6.7781" Properties=species:S:1:pos:R:3 pbc="T T T"
Ge 2.4923 0.0000 1.5715
Ge 14.0786 0.0000 2.3022
Ge -0.4320 0.0000 4.4759
Ge 11.1544 0.0000 5.2067
Ho 8.4417 0.0000 2.5655
Ho 5.2050 0.0000 4.2127
In 0.0000 0.0000 0.0000
Pd 11.5266 0.0000 2.5059
Pd 2.1201 0.0000 4.2722
Tm 5.2436 0.0000 0.5360
Tm 8.4030 0.0000 6.2422
```

---

(14)
First-principles (PBE) data for crystalline Ho4Ge6Ir7 at its relaxed geometry, as listed in the Open Quantum Materials Database.

Computed properties:
* calculated total energy: -7.231 eV/atom
* symmetry: Im-3m

extended XYZ file:
```
17
Lattice="-4.1894 4.1894 4.1894 4.1894 -4.1894 4.1894 4.1894 4.1894 -4.1894" Properties=species:S:1:pos:R:3 pbc="T T T"
Ge 0.0000 0.0000 2.6553
Ge 0.0000 0.0000 5.7236
Ge 0.0000 2.6553 0.0000
Ge 2.6553 0.0000 0.0000
Ge 0.0000 5.7236 0.0000
Ge 5.7236 0.0000 0.0000
Ho -2.0947 2.0947 2.0947
Ho 2.0947 -2.0947 2.0947
Ho 2.0947 2.0947 -2.0947
Ho 2.0947 2.0947 2.0947
Ir 0.0000 0.0000 0.0000
Ir 0.0000 2.0947 4.1894
Ir 2.0947 0.0000 4.1894
Ir 0.0000 4.1894 2.0947
Ir 4.1894 0.0000 2.0947
Ir 2.0947 4.1894 0.0000
Ir 4.1894 2.0947 0.0000
```

---

(15)
First-principles (PBE) data for crystalline Ho6Ge2Ir at its relaxed geometry, as listed in the Open Quantum Materials Database.

Computed properties:
* calculated total energy: -5.745 eV/atom
* symmetry: P-62m

extended XYZ file:
```
9
Lattice="-2.9445 6.1307 -3.7889 0.7510 -6.8368 -3.6476 -3.9169 -1.1025 1.2600" Properties=species:S:1:pos:R:3 pbc="T T T"
Ge -1.7126 1.8082 -3.7418
Ge -0.4808 -2.5143 -3.6947
Ho -2.2068 4.5947 -2.8396
Ho -0.5495 -0.1769 -1.8631
Ho 0.5629 -5.1239 -2.7338
Ho -3.1484 1.9265 -0.9013
Ho -1.6549 -3.3143 -0.8442
Ho -3.2654 -0.9720 -3.8010
Ir -1.9584 -0.5513 0.6300
```

---

(16)
First-principles (PBE) data for crystalline HoLuGe2Ir at its relaxed geometry, as listed in the Open Quantum Materials Database.

Computed properties:
* energy above the lowest structure with this stoichiometry: 0.000 eV per atom
* calculated total energy: -6.355 eV/atom
* symmetry: C2/m

extended XYZ file:
```
10
Lattice="-1.1346 1.5153 5.2821 -0.1888 -2.6487 4.9429 9.3937 2.3887 -3.1331" Properties=species:S:1:pos:R:3 pbc="T T T"
Ge 0.4601 -0.2642 4.5265
Ge 3.7347 0.6665 2.2309
Ge 4.3356 0.5887 4.8611
Ge 7.6102 1.5194 2.5655
Ho 0.8583 0.0667 1.5746
Ho 7.2120 1.1886 5.5173
Ir 2.1974 -0.0225 6.4033
Ir 5.8729 1.2777 0.6887
Lu 3.0959 0.7800 -0.9436
Lu 4.9744 0.4752 8.0356
```

---

(17)
First-principles (PBE) data for crystalline HoLuGe2Ir at its relaxed geometry, as listed in the Open Quantum Materials Database.

Computed properties:
* energy above the lowest structure with this stoichiometry: 0.003 eV per atom
* calculated total energy: -6.352 eV/atom
* symmetry: C2/m

extended XYZ file:
```
10
Lattice="5.2085 -2.1373 0.0000 5.2085 2.1373 0.0000 -4.5926 0.0000 9.1175" Properties=species:S:1:pos:R:3 pbc="T T T"
Ge 4.4469 0.0000 1.0394
Ge 1.6306 0.0000 4.0740
Ge 4.1938 0.0000 5.0435
Ge 1.3775 0.0000 8.0780
Ho -1.4310 0.0000 2.9956
Ho 7.2555 0.0000 6.1219
Ir 6.0529 0.0000 3.0342
Ir -0.2284 0.0000 6.0832
Lu 1.4278 0.0000 1.0811
Lu 4.3967 0.0000 8.0363
```

---

(18)
First-principles (PBE) data for crystalline Tb2HoNiGe3Ir2 at its relaxed geometry, as listed in the Open Quantum Materials Database.

Computed properties:
* calculated total energy: -6.464 eV/atom
* symmetry: Amm2

extended XYZ file:
```
9
Lattice="3.8696 0.0000 0.0000 0.0000 6.1181 3.5474 0.0000 -6.1181 3.5474" Properties=species:S:1:pos:R:3 pbc="T T T"
Ge 1.9348 0.0000 1.7793
Ge 1.9348 1.5242 6.2031
Ge 1.9348 -1.5242 6.2031
Ho 0.0000 0.0000 4.2578
Ir 1.9348 2.0209 3.5511
Ir 1.9348 -2.0209 3.5511
Ni 0.0000 0.0000 7.0843
Tb 0.0000 2.4509 1.4222
Tb 0.0000 -2.4509 1.4222
```

---

(19)
First-principles (PBE) data for crystalline PrHoGe2Ir at its relaxed geometry, as listed in the Open Quantum Materials Database.

Computed properties:
* energy above the lowest structure with this stoichiometry: 0.009 eV per atom
* calculated total energy: -6.349 eV/atom
* symmetry: C2/m

extended XYZ file:
```
10
Lattice="5.4232 -2.1652 0.0000 5.4232 2.1652 0.0000 -4.8769 0.0000 9.3752" Properties=species:S:1:pos:R:3 pbc="T T T"
Ge 6.8426 0.0000 0.5196
Ge 3.7458 0.0000 3.6400
Ge 2.2236 0.0000 5.7352
Ge -0.8732 0.0000 8.8556
Ho 6.9563 0.0000 3.5770
Ho -0.9869 0.0000 5.7982
Ir 2.1519 0.0000 1.6039
Ir 3.8175 0.0000 7.7713
Pr 9.9552 0.0000 1.6210
Pr -3.9858 0.0000 7.7542
```

---

(20)
First-principles (PBE) data for crystalline PrHoGe2Ir at its relaxed geometry, as listed in the Open Quantum Materials Database.

Computed properties:
* energy above the lowest structure with this stoichiometry: 0.000 eV per atom
* calculated total energy: -6.358 eV/atom
* symmetry: C2/m

extended XYZ file:
```
10
Lattice="-4.7516 -2.5444 -2.0875 -1.0916 -4.4220 -3.5586 2.5214 -2.7588 9.7938" Properties=species:S:1:pos:R:3 pbc="T T T"
Ge -3.6480 -4.6435 -3.1494
Ge -2.0506 -4.6223 0.7978
Ge -1.2713 -5.1029 3.3499
Ge 0.3262 -5.0817 7.2970
Ho -5.3576 -7.3435 -3.9567
Ho 2.0357 -2.3817 8.1043
Ir -1.1715 -2.2997 0.0204
Ir -2.1503 -7.4255 4.1273
Pr -3.7513 -6.6738 -0.8152
Pr 0.4294 -3.0514 4.9628
```